The following is a PBE-GGA calculation of a relaxed TbHo2Al3AgPt2 crystal, from the Open Quantum Materials Database.

Properties
Electronic total energy = -47.85 eV/cell
Spin magnetization = 0.00 μB per cell
Symmetry = Amm2

```
TbHo2Al3AgPt2
1.0
3.9060 0.0000 0.0000
0.0000 6.3660 3.6683
0.0000 -6.3660 3.6683
Tb Ho Al Ag Pt
1 2 3 1 2
Direct
0.0000 0.0000 0.0000
0.0000 0.1697 0.5852
0.0000 0.5852 0.1697
0.5000 0.3269 0.3269
0.5000 0.5839 0.8429
0.5000 0.8429 0.5839
0.0000 0.5833 0.5833
0.5000 0.2530 0.9175
0.5000 0.9175 0.2530
```